# 1
## PmLuZn2 (PBEsol)

Data for a relaxed PmLuZn2 crystal.

Values from the calculation:
The calculation puts the density of states at the Fermi level at 17.28 states/eV/cell. As for the energy of formation: -0.321 eV per atom.

```
data_PmLuZn2
_chemical_formula_sum 'Pm4 Lu4 Zn8'
_space_group_name_H-M_alt 'F m -3 m'
_space_group_IT_number 225
_space_group_name_Hall '-F 4 2 3'
_cell_length_a 7.026
_cell_length_b 7.026
_cell_length_c 7.026
_cell_angle_alpha 90.00
_cell_angle_beta 90.00
_cell_angle_gamma 90.00
loop_
_atom_site_label
_atom_site_type_symbol
_atom_site_fract_x
_atom_site_fract_y
_atom_site_fract_z
Pm1 Pm 0.000 0.000 0.000
Lu1 Lu 0.000 0.000 0.500
Zn1 Zn 0.250 0.250 0.250
```

***

# 2
## PrLu3 (PBEsol)

Data for a relaxed PrLu3 crystal.

Values from the calculation:
The calculation puts the density of states at the Fermi level at 12.52 states/eV/cell. As for the energy of formation: 0.016 eV per atom.

```
data_PrLu3
_chemical_formula_sum 'Pr2 Lu6'
_space_group_name_H-M_alt 'P 63/m m c'
_space_group_IT_number 194
_space_group_name_Hall '-P 6c 2c'
_cell_length_a 7.0181
_cell_length_b 7.0181
_cell_length_c 5.5259
_cell_angle_alpha 90.00
_cell_angle_beta 90.00
_cell_angle_gamma 120.00
loop_
_atom_site_label
_atom_site_type_symbol
_atom_site_fract_x
_atom_site_fract_y
_atom_site_fract_z
Pr1 Pr 0.3333 0.6667 0.2500
Lu1 Lu 0.1645 0.3290 0.7500
```

***

# 3
## PrLu3S6 (PBEsol)

Data for a relaxed PrLu3S6 crystal.

Values from the calculation:
Its formation energy from raw total energies is -2128 meV per atom.

```
data_PrLu3S6
_chemical_formula_sum 'Pr2 Lu6 S12'
_space_group_name_H-M_alt 'P 1 21/m 1'
_space_group_IT_number 11
_space_group_name_Hall '-P 2yb'
_cell_length_a 10.777
_cell_length_b 3.876
_cell_length_c 11.065
_cell_angle_alpha 90.00
_cell_angle_beta 109.02
_cell_angle_gamma 90.00
loop_
_atom_site_label
_atom_site_type_symbol
_atom_site_fract_x
_atom_site_fract_y
_atom_site_fract_z
Pr1 Pr 0.051 0.250 0.198
Lu1 Lu 0.161 0.250 0.588
Lu2 Lu 0.321 0.750 0.999
Lu3 Lu 0.444 0.250 0.334
S1 S 0.083 0.750 0.409
S2 S 0.123 0.250 0.965
S3 S 0.200 0.750 0.749
S4 S 0.269 0.750 0.229
S5 S 0.392 0.250 0.556
S6 S 0.481 0.250 0.113
```

***

# 4
## PrLuSe3 (PBEsol)

Data for a relaxed PrLuSe3 crystal.

Values from the calculation:
The calculation puts the density of states at the Fermi level at 0.01 states/eV/cell. Its formation energy from raw total energies is -1894 meV per atom.

```
data_PrLuSe3
_chemical_formula_sum 'Pr4 Lu4 Se12'
_space_group_name_H-M_alt 'C m c m'
_space_group_IT_number 63
_space_group_name_Hall '-C 2c 2'
_cell_length_a 3.989
_cell_length_b 12.903
_cell_length_c 9.849
_cell_angle_alpha 90.00
_cell_angle_beta 90.00
_cell_angle_gamma 90.00
loop_
_atom_site_label
_atom_site_type_symbol
_atom_site_fract_x
_atom_site_fract_y
_atom_site_fract_z
Pr1 Pr 0.000 0.248 0.250
Lu1 Lu 0.000 0.500 0.000
Se1 Se 0.000 0.144 0.561
Se2 Se 0.000 0.416 0.750
```